Crystalline SmHo3Bi3 at its relaxed geometry. Source: Alexandria via LeMat-Bulk, functional GGA-PBE.

The structure belongs to space group R-3 (No. 148, hexagonal axes); the cell edges are 9.1571, 9.1571 and 18.8194 Å and the angles 90.00°, 90.00° and 120.00°. The asymmetric unit holds Sm at (0.0000, 0.0000, 0.1662), Ho at (0.0006, 0.2583, 0.5815) and Bi at (0.0017, 0.3878, 0.4146).

For the formation energy, the calculation gives -0.644 eV per atom. For the total energy, the calculation gives -4.9431 eV per atom.

Crystalline TbSm2Ho3Bi6 at its relaxed geometry. Source: Alexandria via LeMat-Bulk, functional GGA-PBE.

The structure belongs to space group C2/m (No. 12); the cell edges are 19.6022, 4.4992 and 8.9966 Å and the angles 90.00°, 103.18° and 90.00°. The asymmetric unit holds Tb at (0.0000, 0.0000, 0.0000), Sm at (0.1662, 0.5000, 0.3327), Ho at (0.0000, 0.0000, 0.5000), Ho at (0.1673, 0.5000, 0.8333), Bi at (0.0019, 0.5000, 0.7495), Bi at (0.1653, 0.0000, 0.5868) and Bi at (0.1669, 0.0000, 0.0786).

For the formation energy, the calculation gives -0.872 eV per atom. For the total energy, the calculation gives -5.1296 eV per atom.

Crystalline TbSm2HoBi5 at its relaxed geometry. Source: Alexandria via LeMat-Bulk, functional GGA-PBE.

The structure belongs to space group P4/mmm (No. 123); the cell edges are 5.4039, 5.4039 and 11.9251 Å and the angles 90.00°, 90.00° and 90.00°. The asymmetric unit holds Tb at (0.0000, 0.0000, 0.0000), Sm at (0.5000, 0.5000, 0.2721), Ho at (0.0000, 0.0000, 0.5000), Bi at (0.0000, 0.0000, 0.2466), Bi at (0.0000, 0.5000, 0.5000) and Bi at (0.5000, 0.5000, 0.0000).

For the formation energy, the calculation gives -0.080 eV per atom. For the total energy, the calculation gives -4.3081 eV per atom.

Crystalline Tb3Sm2HoBi6 at its relaxed geometry. Source: Alexandria via LeMat-Bulk, functional GGA-PBE.

The structure belongs to space group C2/m (No. 12); the cell edges are 19.6498, 4.5090 and 9.0188 Å and the angles 90.00°, 103.22° and 90.00°. The asymmetric unit holds Tb at (0.0000, 0.0000, 0.0000), Tb at (0.1677, 0.5000, 0.3337), Sm at (0.1661, 0.5000, 0.8329), Ho at (0.0000, 0.0000, 0.5000), Bi at (0.0016, 0.5000, 0.2524), Bi at (0.1658, 0.0000, 0.0858) and Bi at (0.1657, 0.0000, 0.5796).

For the formation energy, the calculation gives -0.887 eV per atom. For the total energy, the calculation gives -5.1526 eV per atom.

Crystalline TbSm3Ho2Bi6 at its relaxed geometry. Source: Alexandria via LeMat-Bulk, functional GGA-PBE.

The structure belongs to space group C2/m (No. 12); the cell edges are 19.6716, 4.5156 and 9.0282 Å and the angles 90.00°, 103.17° and 90.00°. The asymmetric unit holds Tb at (0.0000, 0.0000, 0.0000), Sm at (0.0000, 0.0000, 0.5000), Sm at (0.1664, 0.5000, 0.8328), Ho at (0.1668, 0.5000, 0.3330), Bi at (0.0016, 0.5000, 0.2479), Bi at (0.1658, 0.0000, 0.0870) and Bi at (0.1682, 0.0000, 0.5792).

For the formation energy, the calculation gives -0.887 eV per atom. For the total energy, the calculation gives -5.1565 eV per atom.

Crystalline Tb3SmHo2Bi6 at its relaxed geometry. Source: Alexandria via LeMat-Bulk, functional GGA-PBE.

The structure belongs to space group C2/m (No. 12); the cell edges are 19.5781, 4.4928 and 8.9859 Å and the angles 90.00°, 103.20° and 90.00°. The asymmetric unit holds Tb at (0.0000, 0.0000, 0.0000), Tb at (0.1658, 0.5000, 0.3324), Sm at (0.0000, 0.0000, 0.5000), Ho at (0.1671, 0.5000, 0.8332), Bi at (0.0010, 0.5000, 0.7536), Bi at (0.1671, 0.0000, 0.0816) and Bi at (0.1681, 0.0000, 0.5852).

For the formation energy, the calculation gives -0.872 eV per atom. For the total energy, the calculation gives -5.1260 eV per atom.